DFT (GGA-PBE) results for a relaxed structure of IrWAu2.

Cell and atoms, written as extended XYZ:
```
4
Lattice="2.808 0.000 0.000 0.000 2.808 0.000 0.000 0.000 8.306" Properties=species:S:1:pos:R:3 pbc="T T T"
Ir 0.000 0.000 0.000
W 0.000 0.000 4.153
Au 1.404 1.404 2.078
Au 1.404 1.404 6.228
```

Properties
Electronic total energy = -6.659 eV per atom
Formation enthalpy at 0 K = 0.43 eV/atom
ΔE to the lowest computed polymorph = 377 meV/atom
Magnetic moment = 0.00 μB per atom